A plane-wave DFT calculation with PBE-GGA was carried out for an optimized crystal structure of Y3Tm8Th2.

POSCAR file:
```
Y3Tm8Th2
1.0
-4.801 -2.868 0.419
2.852 -5.367 -4.059
2.079 -1.938 10.585
Y Tm Th
3 8 2
direct
0.500 0.000 0.000
0.000 0.274 0.000
0.000 0.726 0.000
0.000 0.665 0.331
0.500 0.170 0.778
0.500 0.608 0.779
0.000 0.139 0.279
0.500 0.392 0.221
0.000 0.861 0.721
0.000 0.335 0.669
0.500 0.830 0.222
0.500 0.245 0.491
0.500 0.755 0.509
```

Properties
ΔE_f = 0.284 eV per atom
V = 424 Å³/cell
E above lowest polymorph = 10.0 kJ/mol of atoms
ρ = 8.16 g/cm3
Crystal system = monoclinic


A plane-wave DFT calculation with PBE-GGA was carried out for an optimized crystal structure of LaHg2Se.

POSCAR file:
```
LaHg2Se
1.0
6.978 0.000 -0.001
-4.356 5.451 -0.001
1.312 2.729 3.010
La Hg Se
1 2 1
direct
0.500 0.000 0.500
0.500 0.500 0.000
0.000 0.000 0.000
0.000 0.500 0.500
```

Properties
V = 115 Å³/cell
Formation energy (no corrections) = -0.868 eV per atom
ρ = 8.97 g/cm3
Crystal system = orthorhombic


A plane-wave DFT calculation with PBE-GGA was carried out for an optimized crystal structure of SmGa3Rh.

POSCAR file:
```
SmGa3Rh
1.0
-3.532 -2.173 -1.021
-0.650 -0.883 4.128
-2.886 4.457 0.499
Sm Ga Rh
1 3 1
direct
0.500 0.500 0.855
0.000 0.500 0.338
0.000 0.000 0.638
0.500 0.000 0.338
0.000 0.000 0.094
```

Properties
ΔE_f = -0.609 eV per atom
V = 97 Å³/cell
E above lowest polymorph = 0.0 kJ/mol of atoms
ρ = 7.89 g/cm3
Crystal system = tetragonal


A plane-wave DFT calculation with PBE-GGA was carried out for an optimized crystal structure of EuGdNiAu.

POSCAR file:
```
EuGdNiAu
1.0
-1.199 2.138 -4.438
2.784 -0.983 -4.122
-1.921 -2.832 -3.741
Gd Eu Au Ni
1 1 1 1
direct
0.250 0.250 0.250
0.750 0.750 0.750
0.500 0.500 0.500
0.000 0.000 0.000
```

Properties
ΔE_f = -0.442 eV per atom
V = 92 Å³/cell
ρ = 10.18 g/cm3
Crystal system = cubic


A plane-wave DFT calculation with PBE-GGA was carried out for an optimized crystal structure of Ga2SiB2Rh5.

POSCAR file:
```
Ga2SiB2Rh5
1.0
2.865 0.000 0.000
0.000 9.389 0.000
0.000 0.000 9.389
Rh Si B Ga
10 2 4 4
direct
0.500 0.799 0.911
0.500 0.911 0.201
0.500 0.500 0.000
0.500 0.089 0.799
0.500 0.589 0.701
0.500 0.701 0.411
0.500 0.201 0.089
0.500 0.411 0.299
0.500 0.299 0.589
0.500 0.000 0.500
0.000 0.500 0.500
0.000 0.000 0.000
0.000 0.129 0.629
0.000 0.371 0.129
0.000 0.871 0.371
0.000 0.629 0.871
0.000 0.829 0.671
0.000 0.329 0.829
0.000 0.171 0.329
0.000 0.671 0.171
```

Properties
V = 253 Å³/cell
Formation energy (no corrections) = -0.463 eV per atom
ρ = 9.25 g/cm3
Crystal system = tetragonal


A plane-wave DFT calculation with PBE-GGA was carried out for an optimized crystal structure of KAc2S3.

POSCAR file:
```
KAc2S3
1.0
4.353 0.000 0.000
-2.176 3.770 0.000
0.000 0.000 22.225
S Ac K
6 4 2
direct
0.000 0.000 0.500
0.667 0.333 0.847
0.000 0.000 0.000
0.333 0.667 0.347
0.333 0.667 0.153
0.667 0.333 0.653
0.333 0.667 0.581
0.333 0.667 0.919
0.667 0.333 0.419
0.667 0.333 0.081
0.000 0.000 0.250
0.000 0.000 0.750
```

Properties
V = 365 Å³/cell
Formation energy (no corrections) = -1.909 eV per atom
ρ = 5.37 g/cm3
Crystal system = hexagonal


A plane-wave DFT calculation with PBE-GGA was carried out for an optimized crystal structure of RbRhPb3.

POSCAR file:
```
RbRhPb3
1.0
-0.310 -2.010 5.577
0.115 -5.586 -2.006
5.927 0.003 0.330
Pb Rb Rh
3 1 1
direct
0.000 0.500 0.000
0.000 0.000 0.500
0.500 0.000 0.000
0.000 0.000 0.000
0.500 0.500 0.500
```

Properties
ΔE_f = 1.788 eV per atom
V = 209 Å³/cell
E above lowest polymorph = 180.4 kJ/mol of atoms
ρ = 6.43 g/cm3
Crystal system = cubic


A plane-wave DFT calculation with PBE-GGA was carried out for an optimized crystal structure of KSn2Pb4.

POSCAR file:
```
KSn2Pb4
1.0
5.016 0.000 0.000
0.000 4.957 0.000
0.000 -2.478 9.579
Pb Sn K
4 2 1
direct
0.500 0.822 0.643
0.000 0.319 0.638
0.500 0.178 0.357
0.000 0.681 0.362
0.500 0.424 0.847
0.500 0.576 0.153
0.000 0.000 0.000
```

Properties
ΔE_f = -0.072 eV per atom
V = 238 Å³/cell
ρ = 7.71 g/cm3
Crystal system = orthorhombic